Record 1
# ZnAgS2

ZnAgS2 after structural relaxation (PBE, Alexandria).

Cell: 5.673 5.673 6.713 Å, 65.00 65.00 90.00°
Fractional positions:
Zn 0.250 0.750 0.500
S 0.875 0.852 0.750
S 0.602 0.125 0.250
Ag 0.750 0.250 0.500
Zn 0.500 0.500 0.000
Ag 0.000 0.000 0.000
S 0.375 0.398 0.750
S 0.148 0.625 0.250

Summary:
density: 4551 kg/m³
crystal system: tetragonal
DFT total energy: -3.37 eV per atom

***

Record 2
# ZnAg3S

ZnAg3S after structural relaxation (PBE, Alexandria).

Cell: 4.908 4.908 4.908 Å, 90.00 90.00 90.00°
Fractional positions:
Ag 0.500 0.000 0.000
Ag 0.000 0.500 0.000
S 0.000 0.000 0.000
Zn 0.500 0.500 0.500
Ag 0.000 0.000 0.500

Summary:
density: 5916 kg/m³
crystal system: cubic
DFT total energy: -2.44 eV per atom

***

Record 3
# ZnAg2S2

ZnAg2S2 after structural relaxation (PBE, Alexandria).

Cell: 3.458 3.458 8.143 Å, 77.74 77.74 90.00°
Fractional positions:
Ag 0.411 0.411 0.179
S 0.750 0.250 0.500
S 0.250 0.750 0.500
Zn 0.000 0.000 0.000
Ag 0.589 0.589 0.821

Summary:
density: 6172 kg/m³
crystal system: tetragonal
DFT total energy: -2.71 eV per atom

***

Record 4
# ZrAgS2

ZrAgS2 after structural relaxation (PBE, Alexandria).

Cell: 3.610 3.610 7.414 Å, 89.99 89.99 60.00°
Fractional positions:
Zr 0.198 0.199 0.325
Ag 0.533 0.531 0.788
S 0.865 0.866 0.542
S 0.532 0.532 0.118

Summary:
density: 5223 kg/m³
crystal system: monoclinic
DFT total energy: -5.86 eV per atom

***

Record 5
# Zr4AgS8

Zr4AgS8 after structural relaxation (PBE, Alexandria).

Cell: 7.555 7.555 7.555 Å, 60.00 60.00 60.00°
Fractional positions:
Zr 0.372 0.372 0.884
Zr 0.372 0.884 0.372
S 0.131 0.131 0.607
S 0.616 0.616 0.616
Ag 0.750 0.750 0.750
S 0.616 0.153 0.616
S 0.131 0.607 0.131
S 0.153 0.616 0.616
Zr 0.884 0.372 0.372
S 0.616 0.616 0.153
S 0.607 0.131 0.131
S 0.131 0.131 0.131
Zr 0.372 0.372 0.372

Summary:
density: 3971 kg/m³
crystal system: cubic
DFT total energy: -6.77 eV per atom

***

Record 6
# ZrAg2S4

ZrAg2S4 after structural relaxation (PBE, Alexandria).

Cell: 7.223 7.950 7.950 Å, 55.39 62.98 62.98°
Fractional positions:
S 0.231 0.281 0.257
Zr 0.000 0.500 0.000
Ag 0.500 0.000 0.000
S 0.691 0.279 0.779
S 0.309 0.721 0.221
S 0.769 0.243 0.219
S 0.252 0.279 0.779
Ag 0.096 0.154 0.654
S 0.748 0.721 0.221
S 0.231 0.757 0.781
Ag 0.904 0.846 0.346
S 0.769 0.719 0.743
Zr 0.500 0.500 0.000
Ag 0.500 0.500 0.500

Summary:
density: 4481 kg/m³
crystal system: orthorhombic
DFT total energy: -4.96 eV per atom

***

Record 7
# ZrAgS3

ZrAgS3 after structural relaxation (PBE, Alexandria).

Cell: 4.992 4.992 4.992 Å, 90.00 90.00 90.00°
Fractional positions:
S 0.500 0.000 0.000
S 0.000 0.500 0.000
Ag 0.500 0.500 0.500
S 0.000 0.000 0.500
Zr 0.000 0.000 0.000

Summary:
density: 3941 kg/m³
crystal system: cubic
DFT total energy: -5.17 eV per atom

***

Record 8
# Zr4Ag2S9

Zr4Ag2S9 after structural relaxation (PBE, Alexandria).

Cell: 6.512 6.514 18.220 Å, 89.99 90.00 60.01°
Fractional positions:
S 0.999 0.668 0.250
S 0.641 0.375 0.916
Zr 0.666 0.667 0.008
S 0.374 0.641 0.417
S 0.625 0.015 0.084
Ag 0.001 0.999 0.149
S 0.984 0.375 0.416
S 0.375 0.985 0.916
Zr 0.334 0.333 0.992
Zr 0.333 0.333 0.492
S 0.332 0.000 0.250
S 0.359 0.015 0.584
Ag 0.999 0.001 0.851
S 0.985 0.641 0.917
Zr 0.665 0.666 0.316
S 0.667 0.333 0.250
Zr 0.667 0.667 0.508
S 0.359 0.625 0.084
S 0.015 0.359 0.083
Zr 0.331 0.335 0.184
S 0.333 0.667 0.750
Zr 0.669 0.665 0.816
S 0.016 0.625 0.584
S 0.641 0.985 0.416
Ag 0.000 0.001 0.351
S 0.001 0.332 0.750
S 0.626 0.359 0.583
Ag 0.000 0.999 0.649
S 0.668 0.000 0.750
Zr 0.335 0.334 0.684

Summary:
density: 4313 kg/m³
crystal system: monoclinic
DFT total energy: -6.28 eV per atom